CaErSe: optimized geometry, PBE. Values from VASP.

## Properties
- V (Å³/f.u.) = 89.7
- spin magnetization (μB per cell) = 0.662
- symmetry = Immm (71)
- E_form (uncorrected) (meV per atom) = -714.9
- uncorrected energy (eV for the cell shown) = -24.39

Structure (Quantum ESPRESSO input):
```
&SYSTEM
  ibrav = 0, nat = 6, ntyp = 3
/
ATOMIC_SPECIES
Ca 40.08 Ca.upf
Er 167.26 Er.upf
Se 78.96 Se.upf
ATOMIC_POSITIONS crystal
Ca 0.171 0.171 0.000
Ca 0.829 0.829 0.000
Er 0.255 0.500 0.755
Er 0.745 0.500 0.245
Se 0.344 0.344 0.000
Se 0.656 0.656 0.000
CELL_PARAMETERS angstrom
-1.905 2.851 8.258
1.905 -2.851 8.258
1.905 2.851 -8.258
```


Nb2CrS6: optimized geometry, PBE. Values from VASP.

## Properties
- V (Å³/f.u.) = 196.8
- spin magnetization (μB per cell) = 2.417
- symmetry = C2/m (12)
- energy above the lowest structure with this stoichiometry (meV/atom) = 0
- E_form (uncorrected) (meV per atom) = -866.1
- uncorrected energy (eV for the cell shown) = -62.32

Structure (Quantum ESPRESSO input):
```
&SYSTEM
  ibrav = 0, nat = 9, ntyp = 3
/
ATOMIC_SPECIES
Nb 92.91 Nb.upf
Cr 52.00 Cr.upf
S 32.06 S.upf
ATOMIC_POSITIONS crystal
Nb 0.156 0.156 0.321
Nb 0.844 0.844 0.679
Cr 0.500 0.500 0.000
S 0.001 0.001 0.779
S 0.326 0.326 0.430
S 0.344 0.344 0.914
S 0.656 0.656 0.086
S 0.674 0.674 0.570
S 0.999 0.999 0.221
CELL_PARAMETERS angstrom
8.285 -1.695 0.000
8.285 1.695 0.000
-3.151 0.000 7.004
```


LiPtI: optimized geometry, PBE. Values from VASP.

## Properties
- V (Å³/f.u.) = 74.3
- spin magnetization (μB per cell) = 0.000
- symmetry = P2 (3)
- energy above the lowest structure with this stoichiometry (meV/atom) = 357
- E_form (uncorrected) (meV per atom) = -223.9
- uncorrected energy (eV for the cell shown) = -10.18

Structure (Quantum ESPRESSO input):
```
&SYSTEM
  ibrav = 0, nat = 3, ntyp = 3
/
ATOMIC_SPECIES
Li 6.94 Li.upf
Pt 195.08 Pt.upf
I 126.90 I.upf
ATOMIC_POSITIONS crystal
Li 0.000 0.000 0.000
Pt 0.500 0.498 0.000
I 0.500 0.713 0.500
CELL_PARAMETERS angstrom
4.045 0.000 0.000
0.000 3.763 0.000
-0.364 0.000 4.880
```


ZrCd2C: optimized geometry, PBE. Values from VASP.

## Properties
- V (Å³/f.u.) = 74.7
- ΔE_f (eV/atom) = 0.550
- spin magnetization (μB per cell) = 0.000
- symmetry = I-42d (122)
- uncorrected energy (eV for the cell shown) = -34.81

Structure (Quantum ESPRESSO input):
```
&SYSTEM
  ibrav = 0, nat = 8, ntyp = 3
/
ATOMIC_SPECIES
Zr 91.22 Zr.upf
Cd 112.41 Cd.upf
C 12.01 C.upf
ATOMIC_POSITIONS crystal
Zr 0.000 0.000 0.000
Zr 0.750 0.250 0.500
Cd 0.212 0.625 0.087
Cd 0.375 0.462 0.587
Cd 0.538 0.125 0.913
Cd 0.875 0.788 0.413
C 0.250 0.750 0.500
C 0.500 0.500 0.000
CELL_PARAMETERS angstrom
-3.979 3.979 2.358
3.979 -3.979 2.358
3.979 3.979 -2.358
```


SmTm3Th4Se8: optimized geometry, PBE. Values from VASP.

## Properties
- V (Å³/f.u.) = 398.6
- spin magnetization (μB per cell) = 0.000
- symmetry = R-3m (166)
- E_form (uncorrected) (meV per atom) = -1620.3
- uncorrected energy (eV for the cell shown) = -101.61

Structure (Quantum ESPRESSO input):
```
&SYSTEM
  ibrav = 0, nat = 16, ntyp = 4
/
ATOMIC_SPECIES
Sm 150.36 Sm.upf
Tm 168.93 Tm.upf
Th 232.04 Th.upf
Se 78.96 Se.upf
ATOMIC_POSITIONS crystal
Sm 0.000 0.000 0.000
Tm 0.000 0.500 0.500
Tm 0.500 0.000 0.500
Tm 0.500 0.500 0.000
Th 0.000 0.000 0.500
Th 0.000 0.500 0.000
Th 0.500 0.000 0.000
Th 0.500 0.500 0.500
Se 0.248 0.248 0.738
Se 0.248 0.738 0.248
Se 0.257 0.257 0.257
Se 0.262 0.752 0.752
Se 0.738 0.248 0.248
Se 0.743 0.743 0.743
Se 0.752 0.262 0.752
Se 0.752 0.752 0.262
CELL_PARAMETERS angstrom
4.020 2.321 7.120
-4.020 2.321 7.120
0.000 -4.642 7.120
```


BaSb2Br: optimized geometry, PBE. Values from VASP.

## Properties
- V (Å³/f.u.) = 138.7
- spin magnetization (μB per cell) = 0.000
- symmetry = Cmmm (65)
- energy above the lowest structure with this stoichiometry (meV/atom) = 439
- E_form (uncorrected) (meV per atom) = -479.6
- uncorrected energy (eV for the cell shown) = -13.76

Structure (Quantum ESPRESSO input):
```
&SYSTEM
  ibrav = 0, nat = 4, ntyp = 3
/
ATOMIC_SPECIES
Ba 137.33 Ba.upf
Sb 121.76 Sb.upf
Br 79.90 Br.upf
ATOMIC_POSITIONS crystal
Ba 0.000 0.000 0.000
Sb 0.000 0.500 0.500
Sb 0.500 0.000 0.500
Br 0.500 0.500 0.000
CELL_PARAMETERS angstrom
3.040 -6.402 0.000
3.040 6.402 0.000
0.000 0.000 3.564
```


ErSc2Ag4: optimized geometry, PBE. Values from VASP.

## Properties
- V (Å³/f.u.) = 162.6
- ΔE_f (eV/atom) = -0.066
- spin magnetization (μB per cell) = 0.000
- symmetry = I4/mmm (139)
- uncorrected energy (eV for the cell shown) = -29.09

Structure (Quantum ESPRESSO input):
```
&SYSTEM
  ibrav = 0, nat = 7, ntyp = 3
/
ATOMIC_SPECIES
Er 167.26 Er.upf
Sc 44.96 Sc.upf
Ag 107.87 Ag.upf
ATOMIC_POSITIONS crystal
Er 0.000 0.000 0.000
Sc 0.000 0.500 0.500
Sc 0.500 0.000 0.500
Ag 0.000 0.000 0.500
Ag 0.000 0.500 0.000
Ag 0.500 0.000 0.000
Ag 0.500 0.500 0.500
CELL_PARAMETERS angstrom
-3.526 3.526 3.269
3.526 -3.526 3.269
3.526 3.526 -3.269
```


TaTi2CrIr: optimized geometry, PBE. Values from VASP.

## Properties
- V (Å³/f.u.) = 95.5
- ΔE_f (eV/atom) = 1.435
- spin magnetization (μB per cell) = 0.005
- symmetry = P4/mmm (123)
- uncorrected energy (eV for the cell shown) = -38.95

Structure (Quantum ESPRESSO input):
```
&SYSTEM
  ibrav = 0, nat = 5, ntyp = 4
/
ATOMIC_SPECIES
Ta 180.95 Ta.upf
Ti 47.87 Ti.upf
Cr 52.00 Cr.upf
Ir 192.22 Ir.upf
ATOMIC_POSITIONS crystal
Ta 0.000 0.000 0.000
Ti 0.000 0.500 0.000
Ti 0.500 0.000 0.000
Cr 0.000 0.000 0.500
Ir 0.500 0.500 0.500
CELL_PARAMETERS angstrom
4.711 0.000 0.000
0.000 4.711 0.000
0.000 0.000 4.305
```


YScGa2O: optimized geometry, PBE. Values from VASP.

## Properties
- V (Å³/f.u.) = 113.6
- spin magnetization (μB per cell) = 0.000
- symmetry = P4/mmm (123)
- E_form (uncorrected) (meV per atom) = -751.4
- uncorrected energy (eV for the cell shown) = -27.56

Structure (Quantum ESPRESSO input):
```
&SYSTEM
  ibrav = 0, nat = 5, ntyp = 4
/
ATOMIC_SPECIES
Y 88.91 Y.upf
Sc 44.96 Sc.upf
Ga 69.72 Ga.upf
O 16.00 O.upf
ATOMIC_POSITIONS crystal
Y 0.000 0.000 0.000
Sc 0.500 0.500 0.500
Ga 0.000 0.500 0.500
Ga 0.500 0.000 0.500
O 0.500 0.500 0.000
CELL_PARAMETERS angstrom
5.448 0.000 0.000
0.000 5.448 0.000
0.000 0.000 3.826
```


Ba3SmHg4: optimized geometry, PBE. Values from VASP.

## Properties
- V (Å³/f.u.) = 273.8
- ΔE_f (eV/atom) = -0.493
- spin magnetization (μB per cell) = 0.000
- symmetry = P4/mmm (123)
- uncorrected energy (eV for the cell shown) = -15.64

Structure (Quantum ESPRESSO input):
```
&SYSTEM
  ibrav = 0, nat = 8, ntyp = 3
/
ATOMIC_SPECIES
Ba 137.33 Ba.upf
Sm 150.36 Sm.upf
Hg 200.59 Hg.upf
ATOMIC_POSITIONS crystal
Ba 0.000 0.000 0.000
Ba 0.000 0.000 0.262
Ba 0.000 0.000 0.738
Sm 0.000 0.000 0.500
Hg 0.500 0.500 0.130
Hg 0.500 0.500 0.400
Hg 0.500 0.500 0.600
Hg 0.500 0.500 0.870
CELL_PARAMETERS angstrom
4.055 0.000 0.000
0.000 4.055 0.000
0.000 0.000 16.653
```


LiFeHPb2: optimized geometry, PBE. Values from VASP.

## Properties
- V (Å³/f.u.) = 91.2
- spin magnetization (μB per cell) = 2.526
- symmetry = P4/mmm (123)
- uncorrected energy (eV for the cell shown) = -19.98

Structure (Quantum ESPRESSO input):
```
&SYSTEM
  ibrav = 0, nat = 5, ntyp = 4
/
ATOMIC_SPECIES
Li 6.94 Li.upf
Fe 55.84 Fe.upf
H 1.01 H.upf
Pb 207.20 Pb.upf
ATOMIC_POSITIONS crystal
Li 0.000 0.000 0.000
Fe 0.500 0.500 0.000
H 0.500 0.500 0.500
Pb 0.000 0.500 0.500
Pb 0.500 0.000 0.500
CELL_PARAMETERS angstrom
5.210 0.000 0.000
0.000 5.210 0.000
0.000 0.000 3.361
```


TbHo2ScAs4: optimized geometry, PBE. Values from VASP.

## Properties
- V (Å³/f.u.) = 189.2
- ΔE_f (eV/atom) = -1.477
- spin magnetization (μB per cell) = 0.000
- symmetry = P2/m (10)
- uncorrected energy (eV for the cell shown) = -50.53

Structure (Quantum ESPRESSO input):
```
&SYSTEM
  ibrav = 0, nat = 8, ntyp = 4
/
ATOMIC_SPECIES
Tb 158.93 Tb.upf
Ho 164.93 Ho.upf
Sc 44.96 Sc.upf
As 74.92 As.upf
ATOMIC_POSITIONS crystal
Tb 0.000 0.000 0.000
Ho 0.000 0.500 0.500
Ho 0.500 0.000 0.500
Sc 0.500 0.500 0.000
As 0.256 0.500 0.247
As 0.260 0.000 0.758
As 0.740 0.000 0.242
As 0.744 0.500 0.753
CELL_PARAMETERS angstrom
7.027 0.000 0.000
0.000 4.063 0.000
-2.344 0.000 6.627
```